# 1
The following is a DFT calculation (PBE) of a relaxed Ce2NdBe2Pt7 crystal.

Cell: 5.862 6.614 11.920 Å, 90.00 101.82 90.00°
Space group C2/m (No. 12)
One atom of each set of equivalent atoms:
1 Ce 0.196 0.000 0.381 x4
2 Nd 0.000 0.000 0.000 x2
3 Be 0.198 0.500 0.185 x4
4 Pt 0.000 0.500 0.000 x2
5 Pt 0.113 0.285 0.806 x8
6 Pt 0.200 0.500 0.376 x4

## Properties
crystal system: monoclinic
ΔE_f: -0.872 eV/atom
DOS at the Fermi energy: 8.44 states/eV/f.u.
VASP energy: -153.666 eV for the cell shown
magnetic moment: 0.47 μB per formula unit

***

# 2
The following is a DFT calculation (PBE) of a relaxed LiNiTe2 crystal.

Cell: 3.787 6.475 7.676 Å, 90.00 90.00 90.00°
Space group Cmmm (No. 65)
One atom of each set of equivalent atoms:
1 Li 0.000 0.000 0.000 x2
2 Ni 0.000 0.000 0.500 x2
3 Te 0.000 0.500 0.282 x4

## Properties
crystal system: orthorhombic
DOS at the Fermi energy: 2.43 states/eV/f.u.
VASP energy: -29.153 eV for the cell shown
formation energy (no corrections): -0.149 eV/atom
magnetic moment: 0.00 μB per formula unit